{"formula": "SmTa2VO8", "functional": "PBE with a Hubbard U", "state": "optimized geometry", "n_ef_per_ev_fu": 0.00, "final_energy_ev_per_atom": -9.076, "total_magnetization_mub_per_cell": 2.00, "cell": [[4.9092, 0.1124, -0.0261], [0.1704, 4.9048, -0.0279], [-0.0235, -0.0205, 6.4478]], "species": ["Sm", "Ta", "Ta", "V", "O", "O", "O", "O", "O", "O", "O", "O"], "fractional_positions": [[0.0000, 0.0000, 0.5000], [0.5204, 0.5205, 0.7596], [0.4796, 0.4795, 0.2404], [0.0000, 0.0000, 0.0000], [0.2139, 0.7947, 0.2215], [0.6866, 0.6875, 0.9991], [0.7957, 0.2149, 0.2216], [0.7861, 0.2053, 0.7785], [0.3134, 0.3125, 0.0009], [0.2043, 0.7851, 0.7784], [0.6734, 0.6746, 0.5091], [0.3266, 0.3254, 0.4909]]}